Y2Pt | Alexandria via LeMat-Bulk | PBE-GGA | optimized geometry; energy of formation from the pure elements = -0.819 eV per atom; calculated density = 7.36 g/cm³; E = -85.7 eV/cell
1.0
6.955 0.000 0.000
0.000 6.955 0.000
0.000 0.000 6.955
Y Pt
8 4
Direct
0.165 0.165 0.165
0.165 0.335 0.665
0.335 0.665 0.165
0.335 0.835 0.665
0.665 0.165 0.335
0.665 0.335 0.835
0.835 0.665 0.335
0.835 0.835 0.835
0.000 0.000 0.500
0.000 0.500 0.000
0.500 0.000 0.000
0.500 0.500 0.500